1.
# HfAlH3 | Alexandria via LeMat-Bulk | PBE | optimized geometry
# DOS(E_F)	0.312	states/eV per atom
# M_tot	0.000	μB/atom
# calculated volume	9.04	A^3/atom
# energy	-22.0	eV/cell
data_HfAlH3
_chemical_formula_sum 'Hf1 Al1 H3'
_symmetry_space_group_name_H-M 'P m -3 m'
_symmetry_Int_Tables_number 221
_symmetry_space_group_name_Hall '-P 4 2 3'
_cell_length_a 3.563
_cell_length_b 3.563
_cell_length_c 3.563
_cell_angle_alpha 90.00
_cell_angle_beta 90.00
_cell_angle_gamma 90.00
loop_
_atom_site_label
_atom_site_type_symbol
_atom_site_fract_x
_atom_site_fract_y
_atom_site_fract_z
_atom_site_occupancy
Hf1 Hf 0.000 0.000 0.000 1
Al1 Al 0.500 0.500 0.500 1
H1 H 0.000 0.500 0.500 1

2.
# HfAl2H | Alexandria via LeMat-Bulk | PBE | optimized geometry
# DOS(E_F)	0.076	states/eV per atom
# M_tot	0.000	μB/atom
# calculated volume	14.16	A^3/atom
# distance to the lowest polymorph of the same formula	0.000	eV/atom
# energy	-83.0	eV/cell
data_HfAl2H
_chemical_formula_sum 'Hf4 Al8 H4'
_symmetry_space_group_name_H-M 'I -4 2 d'
_symmetry_Int_Tables_number 122
_symmetry_space_group_name_Hall 'I -4 2bw'
_cell_length_a 5.441
_cell_length_b 5.441
_cell_length_c 7.652
_cell_angle_alpha 90.00
_cell_angle_beta 90.00
_cell_angle_gamma 90.00
loop_
_atom_site_label
_atom_site_type_symbol
_atom_site_fract_x
_atom_site_fract_y
_atom_site_fract_z
_atom_site_occupancy
Hf1 Hf 0.000 0.000 0.000 1
Al1 Al 0.026 0.750 0.625 1
H1 H 0.000 0.000 0.500 1

3.
# Hf7Al2H2 | Alexandria via LeMat-Bulk | PBE | optimized geometry
# DOS(E_F)	0.750	states/eV per atom
# M_tot	0.000	μB/atom
# calculated volume	18.05	A^3/atom
# energy	-166.3	eV/cell
data_Hf7Al2H2
_chemical_formula_sum 'Hf14 Al4 H4'
_symmetry_space_group_name_H-M 'C m m m'
_symmetry_Int_Tables_number 65
_symmetry_space_group_name_Hall '-C 2 2'
_cell_length_a 6.681
_cell_length_b 10.109
_cell_length_c 5.878
_cell_angle_alpha 90.00
_cell_angle_beta 90.00
_cell_angle_gamma 90.00
loop_
_atom_site_label
_atom_site_type_symbol
_atom_site_fract_x
_atom_site_fract_y
_atom_site_fract_z
_atom_site_occupancy
Hf1 Hf 0.000 0.000 0.000 1
Hf2 Hf 0.000 0.500 0.238 1
Hf3 Hf 0.250 0.250 0.246 1
Al1 Al 0.177 0.000 0.500 1
H1 H 0.000 0.204 0.000 1